Record 1
Computed, not measured: a relaxed structure of Ba2AcDySe4 at the PBE-GGA level of DFT.

```
Ba2AcDySe4
1.0
4.434 0.000 0.000
0.000 7.683 0.138
0.000 -2.682 7.409
Se Ba Ac Dy
4 2 1 1
Direct
0.000 0.758 0.226
0.500 0.225 0.217
0.000 0.242 0.774
0.500 0.775 0.783
0.500 0.000 0.500
0.000 0.500 0.500
0.500 0.500 0.000
0.000 0.000 0.000
```

raw formation energy	-1.896	eV per atom
N(E_F)	3.839	states/eV/f.u.

***

Record 2
Computed, not measured: a relaxed structure of Er2MnGe2 at the PBE-GGA level of DFT.

```
Er2MnGe2
1.0
-0.039 5.385 2.085
-4.901 -1.422 3.579
6.220 -3.681 1.628
Ge Mn Er
4 2 4
Direct
0.112 0.843 0.225
0.888 0.157 0.775
0.388 0.618 0.775
0.612 0.382 0.225
0.750 0.500 0.000
0.250 0.500 0.000
0.357 0.061 0.713
0.857 0.653 0.713
0.143 0.347 0.287
0.643 0.939 0.287
```

energy of formation from the pure elements	-0.548	eV per atom
N(E_F)	2.974	states/eV/f.u.

***

Record 3
Computed, not measured: a relaxed structure of KLiSm2I8 at the PBE-GGA level of DFT.

```
KLiSm2I8
1.0
-0.992 -5.972 5.159
6.770 4.175 0.003
-3.653 5.918 6.148
I Sm K Li
8 2 1 1
Direct
0.710 0.066 0.840
0.934 0.643 0.840
0.667 0.333 0.420
0.290 0.934 0.160
0.066 0.357 0.160
0.357 0.290 0.840
0.333 0.667 0.580
0.643 0.710 0.160
0.667 0.333 0.096
0.333 0.667 0.904
0.000 0.000 0.500
0.000 0.000 0.000
```

raw formation energy	-1.310	eV per atom
N(E_F)	0.000	states/eV/f.u.

***

Record 4
Computed, not measured: a relaxed structure of AlCuHRh2 at the PBE-GGA level of DFT.

```
AlCuHRh2
1.0
4.021 0.000 0.000
0.000 4.021 0.000
0.000 0.000 3.493
H Al Rh Cu
1 1 2 1
Direct
0.000 0.000 0.000
0.500 0.500 0.500
0.000 0.500 0.000
0.500 0.000 0.000
0.000 0.000 0.500
```

energy relative to the lowest polymorph listed for this composition	0.000	eV/f.u.
N(E_F)	3.254	states/eV/f.u.

***

Record 5
Computed, not measured: a relaxed structure of TbEr5Cu6 at the PBE-GGA level of DFT.

```
TbEr5Cu6
1.0
-3.745 -3.065 -0.670
3.559 -3.296 -4.814
0.869 -6.028 4.770
Tb Cu Er
1 6 5
Direct
0.000 0.000 0.000
0.171 0.251 0.663
0.829 0.749 0.337
0.171 0.749 0.663
0.829 0.251 0.337
0.500 0.747 0.000
0.500 0.253 0.000
0.332 0.000 0.334
0.333 0.500 0.332
0.000 0.500 0.000
0.667 0.500 0.668
0.668 0.000 0.666
```

energy of formation from the pure elements	-0.275	eV per atom
N(E_F)	5.214	states/eV/f.u.

***

no.,E (eV per atom)
1,-5.208
2,-6.054
3,-3.381
4,-5.589
5,-4.610